# Ba2InHPb, relaxed, DFT PBE
# **Offset from the most stable computed form**: 54 meV/atom
# **Uncorrected energy**: -0.1125 hartree per atom
# **Calculated volume**: 31.53 A^3/atom
# **ρ**: 6.30 Mg/m³
data_Ba2InHPb
_cell_length_a 5.7246
_cell_length_b 5.7246
_cell_length_c 4.8109
_cell_angle_alpha 90.00
_cell_angle_beta 90.00
_cell_angle_gamma 90.00
_space_group_name_H-M_alt 'P 4/m m m'
_space_group_IT_number 123
_space_group_name_Hall '-P 4 2'
loop_
_atom_site_label
_atom_site_type_symbol
_atom_site_fract_x
_atom_site_fract_y
_atom_site_fract_z
Ba1 Ba 0.0000 0.5000 0.0000
In1 In 0.0000 0.0000 0.5000
H1 H 0.5000 0.5000 0.0000
Pb1 Pb 0.5000 0.5000 0.5000



# CrPBr2, relaxed, DFT PBE
# **Formation energy from raw total energies**: -0.1183 eV per atom
# **Offset from the most stable computed form**: 260 meV/atom
# **Uncorrected energy**: -0.1732 hartree per atom
# **Calculated volume**: 29.55 A^3/atom
# **ρ**: 3.41 Mg/m³
data_CrPBr2
_cell_length_a 4.5290
_cell_length_b 3.6749
_cell_length_c 7.4503
_cell_angle_alpha 90.00
_cell_angle_beta 107.57
_cell_angle_gamma 90.00
_space_group_name_H-M_alt 'P 1 2/m 1'
_space_group_IT_number 10
_space_group_name_Hall '-P 2y'
loop_
_atom_site_label
_atom_site_type_symbol
_atom_site_fract_x
_atom_site_fract_y
_atom_site_fract_z
Cr1 Cr 0.0000 0.0000 0.0000
P1 P 0.5000 0.0000 0.0000
Br1 Br 0.1251 0.5000 0.2495



# MnAs2Pt, relaxed, DFT PBE
# **Offset from the most stable computed form**: 82 meV/atom
# **Uncorrected energy**: -0.2275 hartree per atom
# **Calculated volume**: 16.12 A^3/atom
# **ρ**: 10.30 Mg/m³
# **Calculated formation energy**: -0.063 eV/atom
data_MnAs2Pt
_cell_length_a 4.4342
_cell_length_b 4.4342
_cell_length_c 3.2797
_cell_angle_alpha 90.00
_cell_angle_beta 90.00
_cell_angle_gamma 90.00
_space_group_name_H-M_alt 'P 4/m m m'
_space_group_IT_number 123
_space_group_name_Hall '-P 4 2'
loop_
_atom_site_label
_atom_site_type_symbol
_atom_site_fract_x
_atom_site_fract_y
_atom_site_fract_z
Mn1 Mn 0.0000 0.0000 0.0000
As1 As 0.0000 0.5000 0.5000
Pt1 Pt 0.5000 0.5000 0.0000



# SrLiCd4, relaxed, DFT PBE
# **Offset from the most stable computed form**: 0 meV/atom
# **Uncorrected energy**: -0.0543 hartree per atom
# **Calculated volume**: 25.89 A^3/atom
# **ρ**: 5.82 Mg/m³
# **Calculated formation energy**: -0.267 eV/atom
data_SrLiCd4
_cell_length_a 8.6371
_cell_length_b 4.9876
_cell_length_c 7.2116
_cell_angle_alpha 90.00
_cell_angle_beta 90.28
_cell_angle_gamma 90.00
_space_group_name_H-M_alt 'C 1 2/m 1'
_space_group_IT_number 12
_space_group_name_Hall '-C 2y'
loop_
_atom_site_label
_atom_site_type_symbol
_atom_site_fract_x
_atom_site_fract_y
_atom_site_fract_z
Sr1 Sr 0.0000 0.0000 0.0000
Li1 Li 0.0000 0.0000 0.5000
Cd1 Cd 0.1655 0.5000 0.7075
Cd2 Cd 0.1678 0.5000 0.2920